A plane-wave DFT calculation with PBE was carried out for a geometry-optimized NdP3Pd10 structure.

Computed properties:
Symmetry: Fm-3m, No. 225
Formation energy from the elements (meV/atom): -616
V (Å³ per atom): 16.4
Size of the total moment (μB/atom): 0.0000

Geometry as POSCAR:
```
NdP3Pd10
1.0
3.729 1.411 7.685
5.473 -5.844 3.294
8.464 1.765 0.446
Pd P Nd
20 6 2
Cartesian
2.921 0.609 0.154
6.823 -1.030 4.413
8.520 -0.388 7.910
6.991 -2.441 6.810
3.584 -3.827 2.157
4.331 -1.093 6.170
6.506 -3.218 2.311
5.363 1.533 5.187
10.843 -1.637 7.013
1.889 -2.017 1.137
8.352 1.023 5.513
5.543 1.156 0.292
7.432 -0.861 1.429
9.146 -2.279 3.515
6.830 1.643 2.944
1.287 0.487 2.653
2.442 0.924 5.033
9.314 -3.690 5.912
10.675 -0.227 4.616
4.871 -3.340 4.810
9.011 -2.827 8.250
11.292 -2.656 4.762
10.452 0.839 6.878
8.656 0.159 3.176
7.215 -3.506 4.548
6.374 -0.011 6.663
4.417 -0.667 2.856
13.250 -2.001 8.569
```

A plane-wave DFT calculation with PBE was carried out for a geometry-optimized NdPPd structure.

Computed properties:
Symmetry: P6_3/mmc, No. 194
Formation energy from the elements (meV/atom): -1237
V (Å³ per atom): 20.4
Size of the total moment (μB/atom): 0.0000

Geometry as POSCAR:
```
NdPPd
1.0
4.237 0.000 0.000
-2.119 3.670 0.000
0.000 0.000 7.862
P Nd Pd
2 2 2
Cartesian
2.119 1.223 5.896
0.000 2.446 1.965
0.000 0.000 0.000
0.000 0.000 3.931
2.119 1.223 1.965
0.000 2.446 5.896
```

A plane-wave DFT calculation with PBE was carried out for a geometry-optimized NdPPd2 structure.

Computed properties:
Symmetry: Cmcm, No. 63
Formation energy from the elements (meV/atom): -920
V (Å³ per atom): 19.0
Size of the total moment (μB/atom): 0.0000

Geometry as POSCAR:
```
NdPPd2
1.0
-3.802 -1.732 -0.577
1.167 -0.185 8.283
-3.770 8.038 0.710
Nd Pd P
4 8 4
Cartesian
-1.901 -0.866 -0.288
-3.786 3.153 0.067
-3.267 5.399 5.321
-3.138 0.722 3.095
-0.725 -0.016 4.828
-1.038 1.872 1.222
-5.366 4.249 7.194
-5.680 6.138 3.588
-2.037 2.781 5.075
-4.368 3.341 3.341
-2.979 5.811 2.185
-3.426 0.310 6.232
-4.357 2.484 5.842
-6.158 6.325 6.181
-0.246 -0.203 2.235
-2.047 3.637 2.575
```